# KBe2Ir, optimized geometry, DFT PBE-GGA
data_KBe2Ir
_cell_length_a 4.5560
_cell_length_b 4.5560
_cell_length_c 2.7878
_cell_angle_alpha 90.00
_cell_angle_beta 90.00
_cell_angle_gamma 90.00
_space_group_name_H-M_alt 'P 1'
_space_group_IT_number 1
loop_
_space_group_symop_operation_xyz
'x,y,z'
loop_
_atom_site_label
_atom_site_fract_x
_atom_site_fract_y
_atom_site_fract_z
K1 0.0000 0.0000 0.0000
Be1 0.0000 0.5000 0.5000
Be2 0.5000 0.0000 0.5000
Ir1 0.5000 0.5000 0.0000
# SG: P4/mmm
# V: 57.9 Å³/cell
# polymorph energy (0 for the lowest one): 872 meV/atom
# uncorrected energy: -3.550 eV/atom
# magnetization: 0.00 μB per atom
# E_form: 802.5 meV/atom
# theoretical density: 7.15 g/cm³

# GaSi2Te6, optimized geometry, DFT PBE-GGA
data_GaSi2Te6
_cell_length_a 10.1240
_cell_length_b 10.1240
_cell_length_c 6.7107
_cell_angle_alpha 106.61
_cell_angle_beta 106.61
_cell_angle_gamma 94.16
_space_group_name_H-M_alt 'P 1'
_space_group_IT_number 1
loop_
_space_group_symop_operation_xyz
'x,y,z'
loop_
_atom_site_label
_atom_site_fract_x
_atom_site_fract_y
_atom_site_fract_z
Ga1 0.2013 0.7987 0.7500
Ga2 0.7987 0.2013 0.2500
Si1 0.2101 0.3642 0.6567
Si2 0.3642 0.2101 0.1567
Si3 0.6358 0.7899 0.8433
Si4 0.7899 0.6358 0.3433
Te1 0.0041 0.1817 0.5981
Te2 0.1420 0.5820 0.8745
Te3 0.1817 0.0041 0.0981
Te4 0.2769 0.4244 0.3520
Te5 0.4180 0.8580 0.6255
Te6 0.4244 0.2769 0.8520
Te7 0.5756 0.7231 0.1480
Te8 0.5820 0.1420 0.3745
Te9 0.7231 0.5756 0.6480
Te10 0.8183 0.9959 0.9019
Te11 0.8580 0.4180 0.1255
Te12 0.9959 0.8183 0.4019
# SG: C2/c
# V: 622.6 Å³/cell
# polymorph energy (0 for the lowest one): 0 meV/atom
# uncorrected energy: -3.675 eV/atom
# magnetization: 0.00 μB per atom
# energy relative to the elements, uncorrected: -0.0393 eV/atom
# theoretical density: 4.76 g/cm³

# LaTlOs2, optimized geometry, DFT PBE-GGA
data_LaTlOs2
_cell_length_a 2.9489
_cell_length_b 3.7956
_cell_length_c 7.7040
_cell_angle_alpha 90.00
_cell_angle_beta 90.00
_cell_angle_gamma 90.00
_space_group_name_H-M_alt 'P 1'
_space_group_IT_number 1
loop_
_space_group_symop_operation_xyz
'x,y,z'
loop_
_atom_site_label
_atom_site_fract_x
_atom_site_fract_y
_atom_site_fract_z
La1 0.0000 0.0000 0.0000
Tl1 0.5000 0.5000 0.6631
Os1 0.0000 0.0000 0.4027
Os2 0.5000 0.5000 0.2730
# SG: Pmm2
# V: 86.2 Å³/cell
# polymorph energy (0 for the lowest one): 0 meV/atom
# uncorrected energy: -7.168 eV/atom
# magnetization: 0.00 μB per atom
# E_form: 270.6 meV/atom
# theoretical density: 13.94 g/cm³

# PIrIO2, optimized geometry, DFT PBE-GGA
data_PIrIO2
_cell_length_a 3.8429
_cell_length_b 3.8429
_cell_length_c 5.7674
_cell_angle_alpha 90.00
_cell_angle_beta 90.00
_cell_angle_gamma 90.00
_space_group_name_H-M_alt 'P 1'
_space_group_IT_number 1
loop_
_space_group_symop_operation_xyz
'x,y,z'
loop_
_atom_site_label
_atom_site_fract_x
_atom_site_fract_y
_atom_site_fract_z
P1 0.0000 0.0000 0.0000
Ir1 0.5000 0.5000 0.0000
I1 0.0000 0.0000 0.5000
O1 0.0000 0.5000 0.5000
O2 0.5000 0.0000 0.5000
# SG: P4/mmm
# V: 85.2 Å³/cell
# polymorph energy (0 for the lowest one): 789 meV/atom
# uncorrected energy: -4.380 eV/atom
# magnetization: 0.23 μB per atom
# energy relative to the elements, uncorrected: 0.7670 eV/atom
# theoretical density: 7.45 g/cm³

- Which of these has the lowest V?
  KBe2Ir